Record 1
K2CdHg (GGA-PBEsol, relaxed); formation enthalpy at 0 K = -0.096 eV per atom; volume = 35.3 A^3/atom; crystal system = monoclinic
1.0
4.299 0.000 0.000
0.000 5.818 -0.128
-2.149 -2.797 5.712
K Hg Cd
2 1 1
Direct
0.972 0.972 0.944
0.770 0.270 0.541
0.212 0.713 0.425
0.545 0.545 0.090

---

Record 2
SrHIrS2 (GGA-PBEsol, relaxed); total DFT energy (no corrections) = -14.54 eV per cell; volume = 36.1 A^3/atom; crystal system = tetragonal
1.0
-4.980 -2.449 0.812
2.037 -2.649 4.505
-1.621 4.395 3.317
Sr S Ir H
1 2 1 1
Direct
0.000 0.000 0.000
0.000 0.500 0.000
0.500 0.000 0.000
0.000 0.000 0.500
0.500 0.500 0.500

---

Record 3
TmSi3Rh5 (GGA-PBEsol, relaxed); volume = 14.5 A^3/atom; crystal system = hexagonal; uncorrected formation energy = -882 kJ/mol of formula units
1.0
-2.631 2.333 1.479
-9.837 -4.060 -11.094
0.406 -7.899 13.182
Tm Si Rh
6 18 30
Direct
0.250 0.100 0.395
0.750 0.395 0.294
0.750 0.706 0.100
0.250 0.294 0.900
0.250 0.605 0.706
0.750 0.900 0.605
0.750 0.239 0.558
0.250 0.558 0.319
0.250 0.681 0.239
0.750 0.319 0.761
0.750 0.442 0.681
0.250 0.761 0.442
0.250 0.868 0.118
0.750 0.132 0.882
0.750 0.750 0.868
0.250 0.882 0.750
0.250 0.061 0.630
0.750 0.630 0.569
0.750 0.431 0.061
0.250 0.569 0.939
0.250 0.370 0.431
0.750 0.939 0.370
0.750 0.118 0.250
0.250 0.250 0.132
0.750 0.075 0.537
0.750 0.586 0.846
0.750 0.154 0.740
0.250 0.846 0.260
0.250 0.414 0.154
0.250 0.740 0.586
0.750 0.777 0.347
0.250 0.347 0.571
0.250 0.429 0.777
0.750 0.571 0.223
0.750 0.653 0.429
0.250 0.223 0.653
0.750 0.973 0.862
0.250 0.862 0.889
0.250 0.111 0.973
0.750 0.889 0.027
0.750 0.138 0.111
0.250 0.027 0.138
0.250 0.538 0.075
0.750 0.462 0.925
0.750 0.463 0.538
0.250 0.925 0.463
0.250 0.225 0.270
0.750 0.270 0.045
0.750 0.955 0.225
0.250 0.045 0.775
0.250 0.730 0.955
0.750 0.775 0.730
0.750 0.260 0.414
0.250 0.537 0.462

---

Record 4
TaZn2Rh (GGA-PBEsol, relaxed); formation enthalpy at 0 K = -0.240 eV per atom; volume = 14.4 A^3/atom; crystal system = tetragonal
1.0
4.179 0.000 0.000
-2.090 3.900 0.022
0.000 2.219 3.542
Rh Ta Zn
1 1 2
Direct
0.000 0.000 0.000
0.750 0.500 0.750
0.500 0.000 0.500
0.250 0.500 0.250

---

Record 5
SrRe3Br (GGA-PBEsol, relaxed); volume = 20.1 A^3/atom; crystal system = cubic; uncorrected formation energy = 978 kJ/mol of formula units
1.0
4.651 0.000 0.000
0.000 4.651 0.000
0.000 0.000 4.651
Re Br Sr
3 1 1
Direct
0.000 0.500 0.000
0.000 0.000 0.500
0.500 0.000 0.000
0.000 0.000 0.000
0.500 0.500 0.500

---

Record 6
LaYZr2 (GGA-PBEsol, relaxed); formation enthalpy at 0 K = 0.173 eV per atom; volume = 26.2 A^3/atom; crystal system = monoclinic
1.0
3.302 0.000 0.000
-1.651 5.524 0.006
0.000 -0.885 5.749
La Y Zr
1 1 2
Direct
0.000 0.000 0.500
0.500 0.000 0.000
0.751 0.503 0.765
0.249 0.497 0.235